# 1
First-principles (GGA-PBEsol) data for a geometry-optimized Co2PtW structure, as listed in the Alexandria database.

Its calculated total energy is -9.0777 eV/atom. Its space-group type is No. 8. As for the distance to the lowest polymorph of the same formula: 0.51 eV/f.u. For the magnetic moment, the calculation gives 2.023 μB/cell. The value obtained for the volume is 51 Å³/f.u.

abc: 4.563 4.563 4.464
angles: 100.62 100.62 33.94
Fractional coordinates of all 4 atoms:
Co 0.000 0.000 0.000
Co 0.738 0.738 0.230
Pt 0.247 0.247 0.746
W 0.490 0.490 0.472

# 2
First-principles (GGA-PBEsol) data for a geometry-optimized CaSi2Pb structure, as listed in the Alexandria database.

Its calculated total energy is -4.4783 eV/atom. Its space-group type is No. 12. Its uncorrected formation energy is -0.072 eV/atom. For the magnetic moment, the calculation gives 0.000 μB/cell. The value obtained for the volume is 97 Å³/f.u.

abc: 5.607 5.607 5.655
angles: 118.31 118.31 38.95
Fractional coordinates of all 4 atoms:
Ca 0.000 0.000 0.000
Si 0.255 0.255 0.642
Si 0.745 0.745 0.358
Pb 0.500 0.500 0.500

- The lowest magnetic moment belongs to which entry?
  CaSi2Pb